## TbSm6Y5 (GGA-PBE)

Data for a geometry-optimized TbSm6Y5 structure.

It has space group C2/m (No. 12), with a = 6.242 Å, b = 10.808 Å, c = 11.866 Å, α = 90.00°, β = 100.06° and γ = 90.00°. The inequivalent atoms are Tb at (0.000, 0.000, 0.000), Sm at (0.249, 0.166, 0.250), Sm at (0.250, 0.000, 0.750), Y at (0.000, 0.167, 0.500), Y at (0.000, 0.333, 0.000) and Y at (0.000, 0.500, 0.500).

## TbSm2Y5 (GGA-PBE)

Data for a geometry-optimized TbSm2Y5 structure.

As for the energy relative to the lowest polymorph listed for this composition: 0 meV per atom.

It has space group Pbam (No. 55), with a = 7.172 Å, b = 14.344 Å, c = 5.060 Å, α = 90.00°, β = 90.00° and γ = 90.00°. The inequivalent atoms are Tb at (0.000, 0.000, 0.000), Sm at (0.249, 0.125, 0.500), Y at (0.000, 0.250, 0.000), Y at (0.000, 0.500, 0.000) and Y at (0.250, 0.375, 0.500).

## Tb5Sm3Y4 (GGA-PBE)

Data for a geometry-optimized Tb5Sm3Y4 structure.

As for the energy relative to the lowest polymorph listed for this composition: 0 meV per atom.

It has space group P-1 (No. 2), with a = 6.202 Å, b = 7.162 Å, c = 8.765 Å, α = 90.04°, β = 90.06° and γ = 90.14°. The inequivalent atoms are Tb at (0.000, 0.000, 0.000), Tb at (0.334, 0.500, 0.333), Tb at (0.500, 0.250, 0.000), Sm at (0.000, 0.500, 0.000), Sm at (0.167, 0.251, 0.667), Y at (0.167, 0.750, 0.667) and Y at (0.333, 0.000, 0.333).

## TbSmY4 (GGA-PBE)

Data for a geometry-optimized TbSmY4 structure.

As for the energy relative to the lowest polymorph listed for this composition: 0 meV per atom.

It has space group C2/c (No. 15), with a = 10.788 Å, b = 6.228 Å, c = 12.128 Å, α = 90.00°, β = 107.23° and γ = 90.00°. The inequivalent atoms are Tb at (0.250, 0.250, 0.000), Sm at (0.000, 0.083, 0.750), Y at (0.083, 0.250, 0.500) and Y at (0.167, 0.418, 0.250).

## TbSm10Y4 (GGA-PBE)

Data for a geometry-optimized TbSm10Y4 structure.

It has space group I4/m (No. 87), with a = 12.329 Å, b = 12.329 Å, c = 7.783 Å, α = 90.00°, β = 90.00° and γ = 90.00°. The inequivalent atoms are Tb at (0.000, 0.000, 0.000), Sm at (0.000, 0.500, 0.250), Sm at (0.099, 0.200, 0.249) and Y at (0.100, 0.700, 0.500).

## Tb7SmY2 (GGA-PBE)

Data for a geometry-optimized Tb7SmY2 structure.

As for the energy relative to the lowest polymorph listed for this composition: 681 meV per atom.

It has space group Cmmm (No. 65), with a = 8.601 Å, b = 17.475 Å, c = 5.231 Å, α = 90.00°, β = 90.00° and γ = 90.00°. The inequivalent atoms are Tb at (0.000, 0.000, 0.000), Tb at (0.000, 0.304, 0.500), Tb at (0.180, 0.392, 0.000), Sm at (0.000, 0.500, 0.500) and Y at (0.000, 0.204, 0.000).

## Tb12Sm5Y2 (GGA-PBE)

Data for a geometry-optimized Tb12Sm5Y2 structure.

It has space group C2/m (No. 12), with a = 15.874 Å, b = 10.111 Å, c = 7.867 Å, α = 90.00°, β = 90.34° and γ = 90.00°. The inequivalent atoms are Tb at (0.051, 0.000, 0.206), Tb at (0.106, 0.225, 0.890), Tb at (0.157, 0.500, 0.623), Tb at (0.195, 0.267, 0.297), Sm at (0.000, 0.500, 0.000), Sm at (0.146, 0.000, 0.577), Sm at (0.247, 0.500, 0.989) and Y at (0.000, 0.272, 0.500).

## Tb5Sm2Y6 (GGA-PBE)

Data for a geometry-optimized Tb5Sm2Y6 structure.

It has space group Pbam (No. 55), with a = 11.726 Å, b = 20.361 Å, c = 3.591 Å, α = 90.00°, β = 90.00° and γ = 90.00°. The inequivalent atoms are Tb at (0.000, 0.000, 0.000), Tb at (0.090, 0.274, 0.000), Tb at (0.200, 0.549, 0.000), Sm at (0.167, 0.712, 0.500), Y at (0.058, 0.420, 0.500), Y at (0.083, 0.131, 0.500) and Y at (0.176, 0.868, 0.000).

## Tb3Sm2Y3 (GGA-PBE)

Data for a geometry-optimized Tb3Sm2Y3 structure.

As for the energy relative to the lowest polymorph listed for this composition: 0 meV per atom.

It has space group Pmmn (No. 59, origin choice 2), with a = 5.713 Å, b = 14.608 Å, c = 6.321 Å, α = 90.00°, β = 90.00° and γ = 90.00°. The inequivalent atoms are Tb at (0.250, 0.125, 0.163), Tb at (0.250, 0.750, 0.672), Sm at (0.250, 0.625, 0.169), Y at (0.250, 0.250, 0.659) and Y at (0.250, 0.501, 0.667).

## Tb3Sm8Y3 (GGA-PBE)

Data for a geometry-optimized Tb3Sm8Y3 structure.

It has space group Immm (No. 71), with a = 5.677 Å, b = 10.925 Å, c = 15.097 Å, α = 90.00°, β = 90.00° and γ = 90.00°. The inequivalent atoms are Tb at (0.000, 0.000, 0.000), Tb at (0.000, 0.500, 0.318), Sm at (0.000, 0.158, 0.276), Sm at (0.000, 0.339, 0.104), Y at (0.000, 0.000, 0.500) and Y at (0.000, 0.302, 0.500).

## Tb2Sm3Y7 (GGA-PBE)

Data for a geometry-optimized Tb2Sm3Y7 structure.

As for the energy relative to the lowest polymorph listed for this composition: 4 meV per atom.

It has space group P2/m (No. 10), with a = 5.855 Å, b = 3.586 Å, c = 18.836 Å, α = 90.00°, β = 93.28° and γ = 90.00°. The inequivalent atoms are Tb at (0.210, 0.000, 0.293), Sm at (0.000, 0.000, 0.000), Sm at (0.277, 0.500, 0.633), Y at (0.188, 0.500, 0.144), Y at (0.243, 0.000, 0.463), Y at (0.308, 0.000, 0.823) and Y at (0.500, 0.500, 0.000).

## Tb5SmY6 (GGA-PBE)

Data for a geometry-optimized Tb5SmY6 structure.

As for the energy relative to the lowest polymorph listed for this composition: 3 meV per atom.

It has space group C2/m (No. 12), with a = 11.852 Å, b = 10.717 Å, c = 6.180 Å, α = 90.00°, β = 100.11° and γ = 90.00°. The inequivalent atoms are Tb at (0.000, 0.000, 0.000), Tb at (0.000, 0.166, 0.500), Tb at (0.000, 0.333, 0.000), Sm at (0.000, 0.500, 0.500), Y at (0.250, 0.000, 0.750) and Y at (0.250, 0.167, 0.250).

Number 1: N(E_F) 30.57 states/eV per cell, energy of formation from the pure elements 0.013 eV per atom. Number 2: N(E_F) 21.63 states/eV per cell, energy of formation from the pure elements 0.019 eV per atom. Number 3: N(E_F) 15.88 states/eV per cell, energy of formation from the pure elements 0.016 eV per atom. Number 4: N(E_F) 33.43 states/eV per cell, energy of formation from the pure elements 0.006 eV per atom. Number 5: N(E_F) 40.98 states/eV per cell, energy of formation from the pure elements 0.733 eV per atom. Number 6: N(E_F) 28.32 states/eV per cell, energy of formation from the pure elements 0.695 eV per atom. Number 7: N(E_F) 51.72 states/eV per cell, energy of formation from the pure elements 0.130 eV per atom. Number 8: N(E_F) 32.98 states/eV per cell, energy of formation from the pure elements 0.099 eV per atom. Number 9: N(E_F) 29.55 states/eV per cell, energy of formation from the pure elements 0.014 eV per atom. Number 10: N(E_F) 39.60 states/eV per cell, energy of formation from the pure elements 0.108 eV per atom. Number 11: N(E_F) 15.71 states/eV per cell, energy of formation from the pure elements 0.086 eV per atom. Number 12: N(E_F) 36.45 states/eV per cell, energy of formation from the pure elements 0.020 eV per atom.